A plane-wave DFT calculation with PBE+U was carried out for a geometry-optimized K2CaNi3F12 structure.

Calculated values
Calculated volume: 14.991 A^3/atom
Raw total energy: -4.299 eV/atom

Cell lengths 7.1048, 7.1048, 7.1048 Å; angles 62.88, 62.88, 62.88 degrees
Atoms (fractional coordinates):
K: 0.1206 0.1206 0.1206
K: 0.8794 0.8794 0.8794
Ca: 0.5000 0.5000 0.5000
Ni: 0.0000 0.5000 0.5000
Ni: 0.5000 0.0000 0.5000
Ni: 0.5000 0.5000 0.0000
F: 0.1121 0.6124 0.6124
F: 0.2077 0.2077 0.5967
F: 0.2077 0.5967 0.2077
F: 0.3876 0.3876 0.8879
F: 0.3876 0.8879 0.3876
F: 0.4033 0.7923 0.7923
F: 0.5967 0.2077 0.2077
F: 0.6124 0.1121 0.6124
F: 0.6124 0.6124 0.1121
F: 0.7923 0.4033 0.7923
F: 0.7923 0.7923 0.4033
F: 0.8879 0.3876 0.3876